Ti2I2Br: optimized geometry, PBE.

Output
The excess energy over the best structure of this formula in the dataset comes out at 297 meV/atom. As for the space-group type: No. 139.

Cell lengths 3.9136, 3.9136, 9.1769 Å; angles 77.69, 77.69, 90.00 degrees
With the nearest neighbours (Å) after each atom.
Atoms (fractional coordinates):
Ti (0.2500, 0.7500, 0.5000)  4 Ti 2.77, 4 I 2.83
Ti (0.7500, 0.2500, 0.5000)  4 Ti 2.77, 4 I 2.83
I (0.6334, 0.6334, 0.7332)  4 Ti 2.83
I (0.3666, 0.3666, 0.2668)  4 Ti 2.83
Br (0.0000, 0.0000, 0.0000)  8 I 3.62, 4 Br 3.91



Cs2NiP2S6: optimized geometry, PBE.

Output
The excess energy over the best structure of this formula in the dataset comes out at 179 meV/atom. As for the space-group type: No. 166.

Cell lengths 6.7840, 6.7840, 8.4799 Å; angles 66.42, 66.42, 60.00 degrees
With the nearest neighbours (Å) after each atom.
Atoms (fractional coordinates):
Cs (0.7818, 0.7818, 0.6545)  9 S 3.55-3.88
Cs (0.2182, 0.2182, 0.3455)  9 S 3.55-3.88
S (0.2300, 0.7452, 0.7949)  1 P 2.02
S (0.2300, 0.2300, 0.7949)  1 P 2.02
S (0.7700, 0.7700, 0.2051)  1 P 2.02
S (0.7700, 0.2548, 0.2051)  1 P 2.02
S (0.7452, 0.2300, 0.7949)  1 P 2.02
S (0.2548, 0.7700, 0.2051)  1 P 2.02
Ni (0.0000, 0.0000, 0.0000)  6 S 2.45
P (0.5920, 0.5920, 0.2241)  3 S 2.02
P (0.4080, 0.4080, 0.7759)  3 S 2.02



MnCu2Pt: optimized geometry, PBE.

Output
As for the space-group type: No. 216. The energy of formation comes out at -0.486 eV/f.u.

Cell lengths 4.2605, 4.2605, 4.2605 Å; angles 60.00, 60.00, 60.00 degrees
With the nearest neighbours (Å) after each atom.
Atoms (fractional coordinates):
Mn (0.5000, 0.5000, 0.5000)  4 Pt 2.61, 4 Cu 2.61
Pt (0.2500, 0.2500, 0.2500)  4 Cu 2.61, 4 Mn 2.61
Cu (0.0000, 0.0000, 0.0000)  4 Cu 2.61, 4 Pt 2.61
Cu (0.7500, 0.7500, 0.7500)  4 Cu 2.61, 4 Mn 2.61



KCa2Mg2: optimized geometry, PBE.

Output
The excess energy over the best structure of this formula in the dataset comes out at 0 meV/atom. As for the space-group type: No. 127. The energy of formation comes out at 0.358 eV/f.u.

Cell lengths 9.6929, 9.6929, 4.0195 Å; angles 90.00, 90.00, 90.00 degrees
With the nearest neighbours (Å) after each atom.
Atoms (fractional coordinates):
Mg (0.1193, 0.3807, 0.0000)  1 Mg 3.27, 6 Ca 3.45-3.57
Mg (0.6193, 0.1193, 0.0000)  1 Mg 3.27, 6 Ca 3.45-3.57
Mg (0.8807, 0.6193, 0.0000)  1 Mg 3.27, 6 Ca 3.45-3.57
Mg (0.3807, 0.8807, 0.0000)  1 Mg 3.27, 6 Ca 3.45-3.57
Ca (0.8343, 0.3343, 0.5000)  6 Mg 3.45-3.57
Ca (0.3343, 0.1657, 0.5000)  6 Mg 3.45-3.57
Ca (0.1657, 0.6657, 0.5000)  6 Mg 3.45-3.57
Ca (0.6657, 0.8343, 0.5000)  6 Mg 3.45-3.57
K (0.0000, 0.0000, 0.0000)  4 Mg 3.87, 2 K 4.02, 8 Ca 4.14
K (0.5000, 0.5000, 0.0000)  4 Mg 3.87, 2 K 4.02, 8 Ca 4.14



Question: Number 2 is which compound?
Answer: Cs2NiP2S6